Entry 1:
DFT (GGA-PBE) results for crystalline Ca3TiIr at its relaxed geometry.

Lattice parameters (Å, degrees): 5.4743 5.4743 5.4743 90.00 90.00 90.00
Space group Pm-3m (No. 221)
Inequivalent atoms, fractional coordinates:
Ca 0.0000 0.0000 0.5000 [3 per cell]
Ti 0.5000 0.5000 0.5000 [1 per cell]
Ir 0.0000 0.0000 0.0000 [1 per cell]

Results
E above lowest polymorph = 0 meV per atom
Energy of formation from the pure elements = 0.364 eV per atom

=====

Entry 2:
DFT (GGA-PBE) results for crystalline Ca2Ti2Ir at its relaxed geometry.

Lattice parameters (Å, degrees): 7.9833 7.9833 3.4458 90.00 90.00 90.00
Space group P4/mbm (No. 127)
Inequivalent atoms, fractional coordinates:
Ca 0.1849 0.3151 0.0000 [4 per cell]
Ti 0.1145 0.6145 0.5000 [4 per cell]
Ir 0.0000 0.0000 0.0000 [2 per cell]

Results
E above lowest polymorph = 665 meV per atom
Energy of formation from the pure elements = 0.954 eV per atom

=====

Entry 3:
DFT (GGA-PBE) results for crystalline CaTiIr3 at its relaxed geometry.

Lattice parameters (Å, degrees): 4.6597 4.6597 4.6597 90.00 90.00 90.00
Space group Pm-3m (No. 221)
Inequivalent atoms, fractional coordinates:
Ca 0.0000 0.0000 0.0000 [1 per cell]
Ti 0.5000 0.5000 0.5000 [1 per cell]
Ir 0.0000 0.5000 0.5000 [3 per cell]

Results
E above lowest polymorph = 0 meV per atom
Energy of formation from the pure elements = 0.349 eV per atom

=====

Entry 4:
DFT (GGA-PBE) results for crystalline Ca2TiIr at its relaxed geometry.

Lattice parameters (Å, degrees): 10.5120 10.5120 4.7260 90.00 90.00 90.00
Space group I-42d (No. 122)
Inequivalent atoms, fractional coordinates:
Ca 0.0962 0.2500 0.1250 [8 per cell]
Ti 0.0000 0.0000 0.5000 [4 per cell]
Ir 0.0000 0.0000 0.0000 [4 per cell]

Results
E above lowest polymorph = 0 meV per atom
Energy of formation from the pure elements = 0.151 eV per atom

=====

| no. | magnetization (μB/f.u.) |
| --- | --- |
| 1 | 3.27 |
| 2 | 0.00 |
| 3 | 0.00 |
| 4 | 0.99 |